Entry from the Alexandria database: a relaxed K3Rb2Hg4Pt2 crystal (GGA-PBE).

Cell lengths 5.4196, 5.4196, 30.0582 Å; angles 90.00, 90.00, 90.00 degrees
Last column: nearest neighbours and their distance in Å.
Space group I4/mmm (No. 139)
Unique sites:
K1 0.0000 0.0000 0.0000 x2  8 Hg 3.66
K2 0.0000 0.0000 0.1477 x4  4 Hg 3.35
Rb1 0.0000 0.0000 0.3056 x4  1 Pt 3.26
Hg1 0.0000 0.5000 0.0820 x8  2 Pt 2.71
Pt1 0.0000 0.0000 0.4140 x4  4 Hg 2.71

Values from the calculation:
Uncorrected energy: -1.805 eV/atom
Total magnetic moment: 0.000 μB per atom
Fermi-level density of states: 0.51 states/eV per atom
ΔH_f (0 K): -121.9 meV/atom